A relaxed CsRb2BiH crystal. Source: Alexandria, functional PBE-GGA.

## Properties
SG   P4/mmm, No. 123
Total energy   -2.2074 eV per atom

abc: 5.8279 5.8279 6.0998
angles: 90.00 90.00 90.00
Each line ends with the local moment (μB).
Fractional positions:
Cs 0.0000 0.0000 0.5000  0.02
Bi 0.5000 0.5000 0.5000  0.53
Rb 0.0000 0.5000 0.0000  0.01
Rb 0.5000 0.0000 0.0000  0.01
H 0.0000 0.0000 0.0000  0.00


A relaxed Cs2RbBiH crystal. Source: Alexandria, functional PBE-GGA.

## Properties
SG   P4/mmm, No. 123
Total energy   -2.1910 eV per atom

abc: 6.1298 6.1298 5.7890
angles: 90.00 90.00 90.00
Each line ends with the local moment (μB).
Fractional positions:
Cs 0.5000 0.0000 0.0000  0.01
Cs 0.0000 0.5000 0.0000  0.01
Bi 0.5000 0.5000 0.5000  0.53
H 0.0000 0.0000 0.0000  0.00
Rb 0.0000 0.0000 0.5000  0.00


A relaxed Cs2BiHRu crystal. Source: Alexandria, functional PBE-GGA.

## Properties
SG   P4/mmm, No. 123
Total energy   -3.0243 eV per atom

abc: 6.2400 5.1468 6.2400
angles: 90.00 90.00 90.00
Each line ends with the local moment (μB).
Fractional positions:
Ru 0.0000 0.0000 0.0000  0.46
Bi 0.0000 0.5000 0.0000  -0.02
Cs 0.0000 0.0000 0.5000  0.01
Cs 0.5000 0.0000 0.0000  0.02
H 0.5000 0.5000 0.5000  -0.03


A relaxed CsBiHS2 crystal. Source: Alexandria, functional PBE-GGA.

## Properties
SG   Cmme, No. 67
Total energy   -3.6353 eV per atom

abc: 6.7942 7.5485 7.1941
angles: 121.64 90.00 90.00
Fractional positions:
H 0.0000 0.0000 0.0000
H 0.0000 0.5000 0.0000
Bi 0.5000 0.7500 0.0000
Bi 0.5000 0.2500 0.0000
Cs 0.8138 0.2500 0.5000
Cs 0.1862 0.7500 0.5000
S 0.7863 0.9353 0.8707
S 0.2137 0.0647 0.1293
S 0.7863 0.5647 0.1293
S 0.2137 0.4353 0.8707


A relaxed CsBi2SbH crystal. Source: Alexandria, functional PBE-GGA.

## Properties
SG   P4/mmm, No. 123
Total energy   -2.1714 eV per atom

abc: 6.5973 4.0002 6.5973
angles: 90.00 90.00 90.00
Fractional positions:
H 0.0000 0.5000 0.0000
Sb 0.5000 0.5000 0.5000
Bi 0.5000 0.0000 0.0000
Bi 0.0000 0.0000 0.5000
Cs 0.0000 0.0000 0.0000


A relaxed Cs2SrBiH crystal. Source: Alexandria, functional PBE-GGA.

## Properties
SG   P4/mmm, No. 123
Total energy   -1.8893 eV per atom

abc: 7.8421 4.4678 7.8421
angles: 90.00 90.00 90.00
Fractional positions:
H 0.0000 0.5000 0.0000
Cs 0.5000 0.0000 0.0000
Cs 0.0000 0.0000 0.5000
Bi 0.0000 0.0000 0.0000
Sr 0.5000 0.5000 0.5000